Record 1
A plane-wave DFT calculation with PBE-GGA was carried out for an optimized crystal structure of ErFe4Ge. Values from VASP.

Cell and atoms, written as Quantum ESPRESSO input:
```
&SYSTEM
  ibrav = 0, nat = 6, ntyp = 3
/
ATOMIC_SPECIES
Er 167.26 Er.upf
Fe 55.84 Fe.upf
Ge 72.64 Ge.upf
ATOMIC_POSITIONS crystal
Er 0.0000 0.0000 0.0000
Fe 0.1280 0.6240 0.6240
Fe 0.6240 0.1280 0.6240
Fe 0.6240 0.6240 0.1280
Fe 0.6240 0.6240 0.6240
Ge 0.2500 0.2500 0.2500
CELL_PARAMETERS angstrom
0.0000 3.4827 3.4827
3.4827 0.0000 3.4827
3.4827 3.4827 0.0000
```

* space-group type: No. 216
* formation enthalpy at 0 K: -0.07 eV/atom
* total magnetization: 7.1 μB per cell

***

Record 2
A plane-wave DFT calculation with PBE-GGA was carried out for an optimized crystal structure of ErFe2GeH. Values from VASP.

Cell and atoms, written as Quantum ESPRESSO input:
```
&SYSTEM
  ibrav = 0, nat = 10, ntyp = 4
/
ATOMIC_SPECIES
Er 167.26 Er.upf
Fe 55.84 Fe.upf
Ge 72.64 Ge.upf
H 1.01 H.upf
ATOMIC_POSITIONS crystal
Er 0.0414 0.9586 0.7500
Er 0.9586 0.0414 0.2500
Fe 0.3363 0.6637 0.5539
Fe 0.3363 0.6637 0.9461
Fe 0.6637 0.3363 0.0539
Fe 0.6637 0.3363 0.4461
Ge 0.2380 0.7620 0.2500
Ge 0.7620 0.2380 0.7500
H 0.5000 0.5000 0.0000
H 0.5000 0.5000 0.5000
CELL_PARAMETERS angstrom
1.7672 -5.1990 0.0000
1.7672 5.1990 0.0000
0.0000 0.0000 7.2791
```

* uncorrected energy: -6.26 eV per atom
* space-group type: No. 63
* total magnetization: 7.2 μB per cell

***

Record 3
A plane-wave DFT calculation with PBE-GGA was carried out for an optimized crystal structure of ErMnFeGe2. Values from VASP.

Cell and atoms, written as Quantum ESPRESSO input:
```
&SYSTEM
  ibrav = 0, nat = 10, ntyp = 4
/
ATOMIC_SPECIES
Er 167.26 Er.upf
Mn 54.94 Mn.upf
Fe 55.84 Fe.upf
Ge 72.64 Ge.upf
ATOMIC_POSITIONS crystal
Er 0.0000 0.0000 0.0000
Er 0.5000 0.5000 0.5000
Mn 0.0000 0.5000 0.7500
Mn 0.5000 0.0000 0.2500
Fe 0.0000 0.5000 0.2500
Fe 0.5000 0.0000 0.7500
Ge 0.0000 0.0000 0.3797
Ge 0.0000 0.0000 0.6203
Ge 0.5000 0.5000 0.1203
Ge 0.5000 0.5000 0.8797
CELL_PARAMETERS angstrom
3.9147 0.0000 0.0000
0.0000 3.9147 0.0000
0.0000 0.0000 10.5978
```

* space-group type: No. 119
* formation enthalpy at 0 K: -0.48 eV/atom
* total magnetization: 6.2 μB per cell

***

Record 4
A plane-wave DFT calculation with PBE-GGA was carried out for an optimized crystal structure of ErFe2GeN. Values from VASP.

Cell and atoms, written as Quantum ESPRESSO input:
```
&SYSTEM
  ibrav = 0, nat = 10, ntyp = 4
/
ATOMIC_SPECIES
Er 167.26 Er.upf
Fe 55.84 Fe.upf
Ge 72.64 Ge.upf
N 14.01 N.upf
ATOMIC_POSITIONS crystal
Er 0.0468 0.9532 0.7500
Er 0.9532 0.0468 0.2500
Fe 0.3402 0.6598 0.5559
Fe 0.3402 0.6598 0.9441
Fe 0.6598 0.3402 0.0559
Fe 0.6598 0.3402 0.4441
Ge 0.2313 0.7687 0.2500
Ge 0.7687 0.2313 0.7500
N 0.5000 0.5000 0.0000
N 0.5000 0.5000 0.5000
CELL_PARAMETERS angstrom
1.8341 -5.3143 0.0000
1.8341 5.3143 0.0000
0.0000 0.0000 6.8553
```

* space-group type: No. 63
* total magnetization: 0.0 μB per cell
* formation energy from raw total energies: -0.6781 eV per atom